[1]
First-principles (PBE-GGA) data for a geometry-optimized Er3Ir2Pd2 structure, as listed in Alexandria via LeMat-Bulk.

a b c (Å): 4.7005 4.7005 7.5933
angles (deg): 108.30 108.30 60.08
Sites, in units of the cell vectors:
Er (0.0000, 0.0000, 0.0000)
Er (0.4268, 0.4268, 0.2785)
Er (0.5732, 0.5732, 0.7215)
Ir (0.2874, 0.2874, 0.8637)
Ir (0.7126, 0.7126, 0.1363)
Pd (0.1498, 0.1498, 0.4492)
Pd (0.8502, 0.8502, 0.5508)

Output
Formation energy from the elements   -5.47 eV per formula unit
Mass density   13.47 g cm⁻³


[2]
First-principles (PBE-GGA) data for a geometry-optimized YEr2Tl3 structure, as listed in Alexandria via LeMat-Bulk.

a b c (Å): 3.6512 3.6512 12.1695
angles (deg): 90.00 90.00 90.00
Sites, in units of the cell vectors:
Y (0.0000, 0.0000, 0.0000)
Er (0.0000, 0.0000, 0.3343)
Er (0.0000, 0.0000, 0.6657)
Tl (0.5000, 0.5000, 0.1690)
Tl (0.5000, 0.5000, 0.5000)
Tl (0.5000, 0.5000, 0.8310)

Output
Formation energy from the elements   -2.03 eV per formula unit
Mass density   10.61 g cm⁻³


[3]
First-principles (PBE-GGA) data for a geometry-optimized NaLi2Ce2O6 structure, as listed in Alexandria via LeMat-Bulk.

a b c (Å): 6.8450 6.8450 6.8450
angles (deg): 51.47 51.47 51.47
Sites, in units of the cell vectors:
Na (0.0000, 0.0000, 0.0000)
Li (0.4278, 0.4278, 0.4278)
Li (0.5722, 0.5722, 0.5722)
Ce (0.1795, 0.1795, 0.1795)
Ce (0.8205, 0.8205, 0.8205)
O (0.2025, 0.7417, 0.7417)
O (0.2583, 0.2583, 0.7975)
O (0.2583, 0.7975, 0.2583)
O (0.7417, 0.2025, 0.7417)
O (0.7417, 0.7417, 0.2025)
O (0.7975, 0.2583, 0.2583)

Output
Formation energy from raw total energies   -2.10 eV/atom
Mass density   3.78 g cm⁻³


[4]
First-principles (PBE-GGA) data for a geometry-optimized Cd2HgTe structure, as listed in Alexandria via LeMat-Bulk.

a b c (Å): 12.6118 12.6118 12.6118
angles (deg): 14.27 14.27 14.27
Sites, in units of the cell vectors:
Cd (0.2451, 0.2451, 0.2451)
Cd (0.7549, 0.7549, 0.7549)
Hg (0.5000, 0.5000, 0.5000)
Te (0.0000, 0.0000, 0.0000)

Output
Formation energy from raw total energies   0.08 eV/atom
Energy relative to the lowest polymorph listed for this composition   0.197 eV per atom
Mass density   8.65 g cm⁻³


[5]
First-principles (PBE-GGA) data for a geometry-optimized Pm4Y2Ho5 structure, as listed in Alexandria via LeMat-Bulk.

a b c (Å): 6.6796 6.6796 9.1340
angles (deg): 102.82 102.82 67.80
Sites, in units of the cell vectors:
Pm (0.1696, 0.1696, 0.1187)
Pm (0.1872, 0.1872, 0.4960)
Pm (0.8128, 0.8128, 0.5040)
Pm (0.8304, 0.8304, 0.8813)
Y (0.3591, 0.3591, 0.8751)
Y (0.6409, 0.6409, 0.1249)
Ho (0.1479, 0.7072, 0.2227)
Ho (0.2928, 0.8521, 0.7773)
Ho (0.5000, 0.5000, 0.5000)
Ho (0.7072, 0.1479, 0.2227)
Ho (0.8521, 0.2928, 0.7773)

Output
Formation energy from the elements   1.24 eV per formula unit
Energy relative to the lowest polymorph listed for this composition   0.012 eV per atom
Mass density   7.23 g cm⁻³


[6]
First-principles (PBE-GGA) data for a geometry-optimized Ho4Tm8Mg structure, as listed in Alexandria via LeMat-Bulk.

a b c (Å): 10.2342 10.2342 10.2342
angles (deg): 40.22 40.22 40.22
Sites, in units of the cell vectors:
Ho (0.0000, 0.0000, 0.0000)
Ho (0.0000, 0.5000, 0.5000)
Ho (0.5000, 0.0000, 0.5000)
Ho (0.5000, 0.5000, 0.0000)
Tm (0.2116, 0.2116, 0.2116)
Tm (0.2174, 0.7460, 0.7460)
Tm (0.2540, 0.2540, 0.7826)
Tm (0.2540, 0.7826, 0.2540)
Tm (0.7460, 0.2174, 0.7460)
Tm (0.7460, 0.7460, 0.2174)
Tm (0.7826, 0.2540, 0.2540)
Tm (0.7884, 0.7884, 0.7884)
Mg (0.5000, 0.5000, 0.5000)

Output
Formation energy from the elements   2.69 eV per formula unit
Mass density   8.39 g cm⁻³


[7]
First-principles (PBE-GGA) data for a geometry-optimized Ho2BH structure, as listed in Alexandria via LeMat-Bulk.

a b c (Å): 5.9856 5.9856 5.9856
angles (deg): 36.86 36.86 36.86
Sites, in units of the cell vectors:
Ho (0.2471, 0.2471, 0.2471)
Ho (0.7529, 0.7529, 0.7529)
B (0.5000, 0.5000, 0.5000)
H (0.0000, 0.0000, 0.0000)

Output
Calculated total energy   -20.0 eV for the cell shown
Mass density   8.21 g cm⁻³


[8]
First-principles (PBE-GGA) data for a geometry-optimized AlIrSe2 structure, as listed in Alexandria via LeMat-Bulk.

a b c (Å): 6.9527 6.9527 6.9527
angles (deg): 131.98 131.98 70.25
Sites, in units of the cell vectors:
Al (0.0000, 0.0000, 0.0000)
Al (0.7500, 0.2500, 0.5000)
Ir (0.2500, 0.7500, 0.5000)
Ir (0.5000, 0.5000, 0.0000)
Se (0.1313, 0.6250, 0.0063)
Se (0.3750, 0.3813, 0.5063)
Se (0.6187, 0.1250, 0.9937)
Se (0.8750, 0.8687, 0.4937)

Output
Formation energy from raw total energies   -0.08 eV/atom
Mass density   6.88 g cm⁻³